No. 1
Below is a geometry-optimized BeFeP structure, with properties calculated at the PBE-GGA level.

Lattice parameters (Å, degrees): 2.640 2.640 5.317 90.00 90.00 120.00
Positions (direct):
Be 0.000 0.000 0.000
Fe 0.333 0.667 0.329
P 0.667 0.333 0.635

- symmetry = No. 156
- energy of formation from the pure elements (eV per atom) = 0.008
- ΔE to the lowest computed polymorph (eV per atom) = 0.4093
- density of states at the Fermi level (states/eV per cell) = 2.2

---

No. 2
Below is a geometry-optimized Tb2YHo2Er2 structure, with properties calculated at the PBE-GGA level.

Lattice parameters (Å, degrees): 17.525 3.483 8.321 90.00 116.84 90.00
Positions (direct):
Tb 0.150 0.000 0.390
Tb 0.350 0.500 0.610
Tb 0.650 0.500 0.390
Tb 0.850 0.000 0.610
Y 0.000 0.500 0.500
Y 0.500 0.000 0.500
Ho 0.071 0.000 0.910
Ho 0.429 0.500 0.090
Ho 0.571 0.500 0.910
Ho 0.929 0.000 0.090
Er 0.210 0.500 0.798
Er 0.290 0.000 0.202
Er 0.710 0.000 0.798
Er 0.790 0.500 0.202

- symmetry = No. 12
- energy of formation from the pure elements (eV per atom) = 0.150
- density of states at the Fermi level (states/eV per cell) = 23.8